[1]
DFT (PBE) results for crystalline AcSmGaRh at its relaxed geometry.

a b c (Å): 4.4188 5.7670 5.7670
angles (deg): 45.68 90.00 90.00
Fractional positions:
Ac  0.0000  0.0000  0.0000
Sm  0.5000  0.2866  0.2866
Ga  0.5000  0.5905  0.5905
Rh  0.0000  0.7265  0.7265

Polymorph energy (0 for the lowest one) = 0.000 eV/atom
DFT formation energy = -0.607 eV per atom
Fermi-level density of states = 3.20 states/eV per cell
Calculated volume = 26.3 Å³ per atom
Space-group type = Amm2, No. 38

---

[2]
DFT (PBE) results for crystalline Ac2SmGa3Rh4 at its relaxed geometry.

a b c (Å): 4.3954 4.3954 11.1312
angles (deg): 90.00 90.00 90.00
Fractional positions:
Ac  0.0000  0.5000  0.2240
Ac  0.5000  0.0000  0.7760
Sm  0.0000  0.0000  0.5000
Ga  0.0000  0.5000  0.8888
Ga  0.5000  0.0000  0.1112
Ga  0.5000  0.5000  0.5000
Rh  0.0000  0.0000  0.0000
Rh  0.0000  0.5000  0.6554
Rh  0.5000  0.0000  0.3446
Rh  0.5000  0.5000  0.0000

DFT formation energy = -0.772 eV per atom
Fermi-level density of states = 7.38 states/eV per cell
Calculated volume = 21.5 Å³ per atom
Space-group type = P-4m2, No. 115

---

What is the DFT formation energy in the first record?
-0.607 eV per atom